The following is a DFT calculation (PBE-GGA) of a geometry-optimized LaCu2Tc structure.

Summary:
* space-group type: C2/m
* formation enthalpy at 0 K: 324 meV/atom
* ρ: 8.86 g cm⁻³
* E above lowest polymorph: 0.221 eV/atom
* D(E_F): 2.96 states/eV/cell
* V: 17.05 Å³/atom

a b c (Å): 6.1941 4.8820 3.0697
angles (deg): 88.48 63.01 119.45
With the nearest neighbours (Å) after each atom.
Sites, in units of the cell vectors:
Cu (0.0000, 0.0000, 0.0000)  4 Cu 2.76-3.07, 4 La 2.85-2.92, 4 Tc 2.85-2.92
Cu (0.5000, 0.0000, 0.5000)  4 Cu 2.76-3.07, 4 Tc 2.85-2.92, 4 La 2.85-2.92
La (0.0000, 0.5000, 0.5000)  2 Tc 2.76, 8 Cu 2.85-2.92, 2 La 3.07
Tc (0.5000, 0.5000, 0.0000)  2 La 2.76, 8 Cu 2.85-2.92, 2 Tc 3.07